Entry 1:
12
Lattice="10.181 -1.997 0.000 10.181 1.997 0.000 -7.633 0.000 10.170" Properties=species:S:1:pos:R:3 comment="NdUI3N | the Open Quantum Materials Database | GGA-PBE | relaxed" crystal_system=monoclinic pbc="T T T"
I 13.596 0.000 0.053
I -1.153 0.000 2.425
I 13.050 0.000 3.763
I -0.322 0.000 6.406
I 13.881 0.000 7.745
I -0.867 0.000 10.117
N 5.962 0.000 3.342
N 6.767 0.000 6.828
Nd 8.045 0.000 4.708
Nd 4.683 0.000 5.462
U 15.982 0.000 2.389
U -3.253 0.000 7.781



Entry 2:
10
Lattice="9.695 -1.997 0.000 9.695 1.997 0.000 -1.899 0.000 8.531" Properties=species:S:1:pos:R:3 comment="Nd2Y2I5N | the Open Quantum Materials Database | GGA-PBE | relaxed" crystal_system=monoclinic pbc="T T T"
I 15.800 0.000 1.443
I 2.582 0.000 2.833
I 8.746 0.000 4.265
I 14.909 0.000 5.698
I 1.691 0.000 7.087
N 9.695 0.000 0.000
Nd 19.010 0.000 1.651
Nd -1.519 0.000 6.880
Y 11.979 0.000 0.519
Y 5.512 0.000 8.012



| no. | V (Å³/atom) | magnetic moment (μB per formula unit) | E_tot (eV per formula unit) |
| --- | --- | --- | --- |
| 1 | 34.5 | 1.983 | -36.13 |
| 2 | 33.0 | 0.004 | -51.56 |